9
Lattice="-1.7113 3.4801 -1.5067 -2.4069 3.8021 5.7714 3.4323 5.5841 3.2551" Properties=species:S:1:pos:R:3 comment="PBE CaZn6Ag2, optimized geometry" space_group="No. 71" volume_a3_per_atom=18.90 e_form_mev_per_atom=-64.0 total_energy_ev_per_cell=-15.92 pbc="T T T"
Ca 0.0000 0.0000 0.0000
Zn 0.8631 5.8295 0.9957
Zn -1.5491 7.0368 6.5240
Zn 1.9120 8.0930 5.0326
Zn -1.4187 6.1049 4.2234
Zn 0.7327 6.7614 3.2963
Zn -2.5979 4.7733 2.4871
Ag -0.8724 8.8773 4.2622
Ag 0.1864 3.9890 3.2575

---

4
Lattice="-3.5426 3.1702 0.0272 -3.7834 -0.6873 2.7954 -0.6808 2.7711 3.8024" Properties=species:S:1:pos:R:3 comment="PBE TmScAlCo, optimized geometry" space_group="No. 216" volume_a3_per_atom=18.99 e_form_mev_per_atom=-277.1 total_energy_ev_per_cell=-22.76 pbc="T T T"
Sc 0.0000 0.0000 0.0000
Tm -4.0034 2.6270 3.3125
Co -6.0051 3.9405 4.9687
Al -2.0017 1.3135 1.6562

---

6
Lattice="0.0000 4.1702 4.1702 4.1702 0.0000 4.1702 4.1702 4.1702 0.0000" Properties=species:S:1:pos:R:3 comment="PBE LaZr4Fe, optimized geometry" space_group="No. 216" volume_a3_per_atom=24.17 e_form_mev_per_atom=556.6 total_energy_ev_per_cell=-44.24 pbc="T T T"
La 0.0000 0.0000 0.0000
Zr 3.1307 5.2097 5.2097
Zr 5.2097 5.2097 3.1307
Zr 5.2097 3.1307 5.2097
Zr 3.1307 3.1307 3.1307
Fe 6.2553 6.2553 6.2553

---

5
Lattice="4.7119 0.0000 0.0000 0.0000 4.7119 0.0000 0.0000 0.0000 4.7119" Properties=species:S:1:pos:R:3 comment="PBE CoReIr3, optimized geometry" space_group="No. 221" volume_a3_per_atom=20.92 e_form_mev_per_atom=1998.1 total_energy_ev_per_cell=-36.15 e_above_lowest_polymorph_ev_per_atom=1.638 pbc="T T T"
Re 0.0000 0.0000 0.0000
Ir 0.0000 2.3560 0.0000
Ir 0.0000 0.0000 2.3560
Ir 2.3560 0.0000 0.0000
Co 2.3560 2.3560 2.3560